Version one
A plane-wave DFT calculation with PBE+U was carried out for a relaxed VPd3O crystal.

abc: 4.243 4.243 4.243
angles: 90.00 90.00 90.00
Site moments in Bohr magnetons follow the coordinates.
Fractional positions:
Pd: 0.000 0.500 0.000  0.02
Pd: 0.000 0.000 0.500  0.02
Pd: 0.500 0.000 0.000  0.02
O: 0.000 0.000 0.000  0.01
V: 0.500 0.500 0.500  2.62

**Spin magnetization**: 0.607 μB per atom

***

Version two
A plane-wave DFT calculation with PBE+U was carried out for a relaxed VPd3O crystal.

abc: 4.676 4.676 4.676
angles: 90.00 90.00 90.00
Site moments in Bohr magnetons follow the coordinates.
Fractional positions:
Pd: 0.000 0.500 0.000  -0.06
Pd: 0.000 0.000 0.500  -0.06
Pd: 0.500 0.000 0.000  -0.06
O: 0.500 0.500 0.500  1.01
V: 0.000 0.000 0.000  1.89

**Spin magnetization**: 0.606 μB per atom

***

What is the stability order? It is version one, version two, from most stable to least stable.

***

Version one
A plane-wave DFT calculation with PBE+U was carried out for a relaxed VPdO crystal.

abc: 2.959 5.157 6.143
angles: 83.73 76.06 73.33
Site moments in Bohr magnetons follow the coordinates.
Fractional positions:
O: 0.364 0.284 0.988  -0.06
O: 0.636 0.716 0.012  -0.06
V: 0.721 0.368 0.190  1.92
V: 0.279 0.632 0.810  1.92
Pd: 0.892 0.774 0.443  0.01
Pd: 0.108 0.226 0.557  0.01

**Spin magnetization**: 0.665 μB per atom

***

Version two
A plane-wave DFT calculation with PBE+U was carried out for a relaxed VPdO crystal.

abc: 3.618 3.618 4.261
angles: 115.12 115.12 90.00
Site moments in Bohr magnetons follow the coordinates.
Fractional positions:
Pd: 0.951 0.951 0.901  -0.01
O: 0.318 0.318 0.636  -0.09
V: 0.581 0.581 0.163  1.94

**Spin magnetization**: 0.674 μB per atom

***

What is the stability order? It is version one, version two, from most stable to least stable.